Compound: CaAs3S
Source: Alexandria
Functional: GGA-PBEsol
Structure: optimized geometry

Summary:
Raw total energy   -4.350 eV per atom
Total magnetic moment   0.000 μB/atom

a b c (Å): 4.816 4.816 4.816
angles (deg): 90.00 90.00 90.00
Space group Pm-3m (No. 221)
Symmetry-distinct sites (fractional):
Ca1 0.000 0.000 0.000 [1 per cell]
As1 0.000 0.500 0.500 [3 per cell]
S1 0.500 0.500 0.500 [1 per cell]